The following is a PBE-GGA calculation of Pr2Sm2Co2Cl after structural relaxation, from the Alexandria database.

POSCAR file:
```
Pr2Sm2Co2Cl
1.0
-3.195 -1.985 -0.218
0.821 -5.520 5.664
-3.786 1.890 5.709
Cl Pr Co Sm
1 2 2 2
Direct
0.000 0.000 0.000
0.467 0.737 0.328
0.533 0.263 0.672
0.904 0.513 0.680
0.096 0.487 0.320
0.767 0.319 0.148
0.233 0.681 0.852
```

Results
- Fermi-level density of states: 6.50 states/eV per cell
- Raw total energy: -5.46 eV per atom
- Volume: 27.28 A^3/atom
- Energy relative to the elements, uncorrected: -0.456 eV per atom

***

The following is a PBE-GGA calculation of Tl2CdSb after structural relaxation, from the Alexandria database.

POSCAR file:
```
Tl2CdSb
1.0
4.820 0.000 0.000
2.410 4.196 0.019
2.410 1.360 6.389
Sb Cd Tl
1 1 2
Direct
0.494 0.257 0.755
0.109 0.871 0.911
0.916 0.681 0.487
0.692 0.452 0.164
```

Results
- Fermi-level density of states: 0.65 states/eV per cell
- Raw total energy: -2.44 eV per atom
- Volume: 32.27 A^3/atom
- Energy relative to the elements, uncorrected: 0.006 eV per atom
- Distance to the lowest polymorph of the same formula: 0 meV per atom

***

The following is a PBE-GGA calculation of CaTm2CrN4 after structural relaxation, from the Alexandria database.

POSCAR file:
```
CaTm2CrN4
1.0
3.359 0.000 0.000
-1.679 5.754 0.000
0.000 0.000 11.544
N Tm Ca Cr
8 4 2 2
Direct
0.587 0.173 0.250
0.739 0.478 0.877
0.000 0.000 0.000
0.413 0.827 0.750
0.261 0.522 0.123
0.739 0.478 0.623
0.000 0.000 0.500
0.261 0.522 0.377
0.630 0.259 0.459
0.370 0.741 0.541
0.370 0.741 0.959
0.630 0.259 0.041
0.096 0.191 0.750
0.904 0.809 0.250
0.171 0.342 0.250
0.829 0.658 0.750
```

Results
- Fermi-level density of states: 4.00 states/eV per cell
- Raw total energy: -7.98 eV per atom
- Volume: 13.95 A^3/atom
- Energy relative to the elements, uncorrected: -1.242 eV per atom

***

The following is a PBE-GGA calculation of Be2InMo after structural relaxation, from the Alexandria database.

POSCAR file:
```
Be2InMo
1.0
4.893 0.003 -0.004
4.073 2.712 -0.004
1.363 0.413 4.110
In Mo Be
1 1 2
Direct
0.512 0.512 0.456
0.730 0.730 0.812
0.276 0.276 0.264
0.981 0.981 0.968
```

Results
- Fermi-level density of states: 0.95 states/eV per cell
- ΔH_f (0 K): 0.2965 eV/atom
- Raw total energy: -4.96 eV per atom
- Volume: 13.62 A^3/atom

***

The following is a PBE-GGA calculation of Al2ReOs after structural relaxation, from the Alexandria database.

POSCAR file:
```
Al2ReOs
1.0
-0.537 -3.162 2.624
-1.612 -1.286 -1.880
3.759 -2.507 -2.251
Re Al Os
1 2 1
Direct
0.500 0.750 0.750
0.000 0.481 0.497
0.000 0.019 0.003
0.500 0.250 0.250
```

Results
- Fermi-level density of states: 2.45 states/eV per cell
- ΔH_f (0 K): -0.0794 eV/atom
- Raw total energy: -7.87 eV per atom
- Volume: 14.52 A^3/atom
- Distance to the lowest polymorph of the same formula: 153 meV per atom

***

The following is a PBE-GGA calculation of HfTiAs2Se after structural relaxation, from the Alexandria database.

POSCAR file:
```
HfTiAs2Se
1.0
-0.573 5.006 -0.857
-3.117 0.334 4.037
3.988 0.970 2.998
As Ti Hf Se
2 1 1 1
Direct
0.000 0.500 0.000
0.500 0.000 0.000
0.500 0.500 0.500
0.000 0.000 0.000
0.000 0.000 0.500
```

Results
- Fermi-level density of states: 4.72 states/eV per cell
- Raw total energy: -5.94 eV per atom
- Volume: 26.56 A^3/atom
- Energy relative to the elements, uncorrected: 0.183 eV per atom
- Distance to the lowest polymorph of the same formula: 95 meV per atom

***

The following is a PBE-GGA calculation of CsGdS2 after structural relaxation, from the Alexandria database.

POSCAR file:
```
CsGdS2
1.0
8.408 0.001 0.000
7.379 4.031 0.000
7.379 1.884 3.563
Gd S Cs
1 2 1
Direct
0.500 0.500 0.500
0.773 0.773 0.773
0.227 0.227 0.227
0.000 0.000 0.000
```

Results
- Fermi-level density of states: 0.00 states/eV per cell
- Raw total energy: -7.63 eV per atom
- Volume: 30.18 A^3/atom
- Energy relative to the elements, uncorrected: -1.833 eV per atom